# 1
Below is ReSnI3 after structural relaxation, with properties calculated at the PBE-GGA level.

Properties
Its space group is Pm-3m, No. 221. The calculation puts the uncorrected formation energy at 1.0691 eV/atom.

Cell lengths 6.108, 6.108, 6.108 Å; angles 90.00, 90.00, 90.00 degrees
Fractional coordinates of all 5 atoms:
I 0.000 0.500 0.000
I 0.500 0.000 0.000
I 0.000 0.000 0.500
Re 0.500 0.500 0.500
Sn 0.000 0.000 0.000

# 2
Below is SrReSn2I after structural relaxation, with properties calculated at the PBE-GGA level.

Properties
Its space group is P4/mmm, No. 123. The calculation puts the uncorrected formation energy at -0.0835 eV/atom.

Cell lengths 5.170, 6.154, 5.170 Å; angles 90.00, 90.00, 90.00 degrees
Fractional coordinates of all 5 atoms:
Sn 0.000 0.000 0.500
Sn 0.500 0.000 0.000
Re 0.000 0.000 0.000
I 0.500 0.500 0.500
Sr 0.000 0.500 0.000

# 3
Below is ReSnTeI2 after structural relaxation, with properties calculated at the PBE-GGA level.

Properties
Its space group is P4/mmm, No. 123. The calculation puts the uncorrected formation energy at 1.2782 eV/atom.

Cell lengths 5.955, 5.955, 5.853 Å; angles 90.00, 90.00, 90.00 degrees
Fractional coordinates of all 5 atoms:
Sn 0.000 0.000 0.000
I 0.500 0.000 0.000
I 0.000 0.500 0.000
Te 0.000 0.000 0.500
Re 0.500 0.500 0.500

# 4
Below is ReSnTeI2 after structural relaxation, with properties calculated at the PBE-GGA level.

Properties
Its space group is P4/mmm, No. 123. The calculation puts the uncorrected formation energy at 0.6729 eV/atom.

Cell lengths 5.560, 5.560, 5.125 Å; angles 90.00, 90.00, 90.00 degrees
Fractional coordinates of all 5 atoms:
I 0.500 0.000 0.000
I 0.000 0.500 0.000
Re 0.000 0.000 0.000
Sn 0.500 0.500 0.500
Te 0.000 0.000 0.500

# 5
Below is Zr2ReSnI after structural relaxation, with properties calculated at the PBE-GGA level.

Properties
Its space group is P4/mmm, No. 123. The calculation puts the uncorrected formation energy at 1.2943 eV/atom.

Cell lengths 5.216, 4.864, 5.216 Å; angles 90.00, 90.00, 90.00 degrees
Fractional coordinates of all 5 atoms:
Re 0.000 0.500 0.000
Zr 0.000 0.000 0.500
Zr 0.500 0.000 0.000
I 0.000 0.000 0.000
Sn 0.500 0.500 0.500

# 6
Below is SrReI3 after structural relaxation, with properties calculated at the PBE-GGA level.

Properties
Its space group is Pm-3m, No. 221. The calculation puts the uncorrected formation energy at 0.1139 eV/atom.

Cell lengths 5.524, 5.524, 5.524 Å; angles 90.00, 90.00, 90.00 degrees
Fractional coordinates of all 5 atoms:
I 0.000 0.500 0.000
I 0.000 0.000 0.500
I 0.500 0.000 0.000
Sr 0.500 0.500 0.500
Re 0.000 0.000 0.000

# 7
Below is SrRe2I after structural relaxation, with properties calculated at the PBE-GGA level.

Properties
Its space group is Fm-3m, No. 225. The calculation puts the uncorrected formation energy at 1.8146 eV/atom.

Cell lengths 4.843, 4.843, 4.843 Å; angles 60.00, 60.00, 60.00 degrees
Fractional coordinates of all 4 atoms:
Re 0.750 0.750 0.750
Re 0.250 0.250 0.250
I 0.500 0.500 0.500
Sr 0.000 0.000 0.000

# 8
Below is Sr2ReI after structural relaxation, with properties calculated at the PBE-GGA level.

Properties
Its space group is I-42d, No. 122. The calculation puts the uncorrected formation energy at 0.6675 eV/atom.

Cell lengths 8.466, 8.466, 7.210 Å; angles 54.05, 54.05, 90.00 degrees
Fractional coordinates of all 8 atoms:
Sr 0.096 0.625 0.250
Sr 0.875 0.904 0.750
Sr 0.654 0.125 0.250
Sr 0.375 0.346 0.750
I 0.500 0.500 0.000
I 0.250 0.750 0.500
Re 0.750 0.250 0.500
Re 0.000 0.000 0.000

# 9
Below is Sr2ReI after structural relaxation, with properties calculated at the PBE-GGA level.

Properties
Its space group is Fm-3m, No. 225. The calculation puts the uncorrected formation energy at 0.5659 eV/atom.

Cell lengths 5.588, 5.588, 5.588 Å; angles 60.00, 60.00, 60.00 degrees
Fractional coordinates of all 4 atoms:
Sr 0.750 0.750 0.750
Sr 0.250 0.250 0.250
Re 0.500 0.500 0.500
I 0.000 0.000 0.000

# 10
Below is Sr2Re2I after structural relaxation, with properties calculated at the PBE-GGA level.

Properties
Its space group is I4/mmm, No. 139. The calculation puts the uncorrected formation energy at 0.0227 eV/atom.

Cell lengths 3.722, 3.722, 10.334 Å; angles 79.62, 79.62, 90.00 degrees
Fractional coordinates of all 5 atoms:
I 0.000 0.000 0.000
Sr 0.378 0.378 0.243
Sr 0.622 0.622 0.757
Re 0.250 0.750 0.500
Re 0.750 0.250 0.500

# 11
Below is SrReI3 after structural relaxation, with properties calculated at the PBE-GGA level.

Properties
Its space group is Pm-3m, No. 221. The calculation puts the uncorrected formation energy at 0.4055 eV/atom.

Cell lengths 6.352, 6.352, 6.352 Å; angles 90.00, 90.00, 90.00 degrees
Fractional coordinates of all 5 atoms:
Sr 0.000 0.000 0.000
I 0.000 0.500 0.000
I 0.000 0.000 0.500
I 0.500 0.000 0.000
Re 0.500 0.500 0.500

# 12
Below is SrRe2I after structural relaxation, with properties calculated at the PBE-GGA level.

Properties
Its space group is I-42d, No. 122. The calculation puts the uncorrected formation energy at 1.7313 eV/atom.

Cell lengths 8.060, 8.060, 6.404 Å; angles 51.00, 51.00, 90.00 degrees
Fractional coordinates of all 8 atoms:
I 0.000 0.000 0.000
I 0.750 0.250 0.500
Re 0.692 0.125 0.250
Re 0.875 0.942 0.750
Re 0.058 0.625 0.250
Re 0.375 0.308 0.750
Sr 0.500 0.500 0.000
Sr 0.250 0.750 0.500

| no. | magnetization (μB per formula unit) | final energy (eV/cell) | N(E_F) (states/eV/atom) |
| --- | --- | --- | --- |
| 1 | 6.0 | -15.8 | 0.07 |
| 2 | 0.1 | -24.1 | 0.33 |
| 3 | 5.6 | -16.3 | 0.67 |
| 4 | 0.5 | -19.3 | 1.43 |
| 5 | 0.1 | -28.6 | 0.86 |
| 6 | 2.0 | -18.2 | 1.33 |
| 7 | 0.0 | -20.9 | 1.42 |
| 8 | 2.0 | -29.4 | 1.36 |
| 9 | 2.0 | -15.1 | 1.55 |
| 10 | 0.0 | -29.7 | 0.30 |
| 11 | 6.0 | -16.8 | 0.00 |
| 12 | 0.0 | -42.4 | 1.64 |